Material: La2Pr3P4
Method: DFT, PBE
State: relaxed

a = 13.911 Å, b = 4.203 Å, c = 10.324 Å
α = 90.00°, β = 119.40°, γ = 90.00°
Space group C2/m (No. 12)
Symmetry-distinct sites (fractional):
La 0.104 0.000 0.390 [4 per cell]
Pr 0.000 0.500 0.000 [2 per cell]
Pr 0.206 0.500 0.813 [4 per cell]
P 0.100 0.000 0.898 [4 per cell]
P 0.202 0.500 0.303 [4 per cell]

Output
Energy relative to the elements: -31.78 kcal/mol of atoms